The following is a DFT calculation (PBE-GGA) of a relaxed CaHf2SbO8 crystal.

Unit cell a=4.895 b=4.897 c=6.628 alpha=90.00 beta=90.00 gamma=88.62
Each line ends with the local moment (μB).
Sites, in units of the cell vectors:
1 Ca 0.000 0.000 0.500  0.00
2 Hf 0.500 0.500 0.743  -0.01
3 Hf 0.500 0.500 0.257  -0.01
4 Sb 0.000 0.000 0.000  -0.01
5 O 0.201 0.799 0.216  0.06
6 O 0.705 0.705 0.000  0.14
7 O 0.799 0.201 0.216  0.06
8 O 0.799 0.201 0.784  0.06
9 O 0.295 0.295 0.000  0.14
10 O 0.201 0.799 0.784  0.06
11 O 0.679 0.678 0.500  0.03
12 O 0.321 0.322 0.500  0.03

- DFT total energy (eV per atom) = -8.09
- density of states at the Fermi level (states/eV/cell) = 7.9
- space group = No. 65

---

The following is a DFT calculation (PBE-GGA) of a relaxed CaHfSbO5 crystal.

Unit cell a=6.021 b=6.021 c=8.114 alpha=108.63 beta=108.63 gamma=98.22
Each line ends with the local moment (μB).
Sites, in units of the cell vectors:
1 Ca 0.307 0.693 0.250  0.01
2 Ca 0.693 0.307 0.750  0.01
3 Hf 0.000 0.000 0.500  0.01
4 Hf 0.000 0.000 0.000  0.01
5 Sb 0.677 0.323 0.250  0.14
6 Sb 0.323 0.677 0.750  0.14
7 O 0.041 0.959 0.250  0.01
8 O 0.959 0.041 0.750  0.01
9 O 0.818 0.278 0.045  0.14
10 O 0.182 0.722 0.955  0.14
11 O 0.722 0.182 0.455  0.14
12 O 0.278 0.818 0.545  0.14
13 O 0.718 0.674 0.366  0.05
14 O 0.282 0.326 0.634  0.05
15 O 0.326 0.282 0.134  0.05
16 O 0.674 0.718 0.866  0.05

- DFT total energy (eV per atom) = -7.60
- density of states at the Fermi level (states/eV/cell) = 4.9
- space group = No. 15

---

The following is a DFT calculation (PBE-GGA) of a relaxed Ca2HfScO6 crystal.

Unit cell a=5.607 b=5.794 c=7.987 alpha=90.00 beta=89.64 gamma=90.00
Each line ends with the local moment (μB).
Sites, in units of the cell vectors:
1 Ca 0.017 0.947 0.252  0.00
2 Ca 0.517 0.553 0.752  0.00
3 Ca 0.983 0.053 0.748  0.00
4 Ca 0.483 0.447 0.248  0.00
5 Hf 0.500 0.000 0.500  -0.02
6 Hf 0.000 0.500 0.000  -0.02
7 Sc 0.500 0.000 0.000  -0.02
8 Sc 0.000 0.500 0.500  -0.02
9 O 0.295 0.704 0.056  0.14
10 O 0.795 0.796 0.556  0.14
11 O 0.705 0.296 0.944  0.14
12 O 0.205 0.204 0.444  0.14
13 O 0.299 0.709 0.440  0.16
14 O 0.799 0.791 0.940  0.16
15 O 0.701 0.291 0.560  0.16
16 O 0.201 0.209 0.060  0.16
17 O 0.891 0.541 0.248  0.17
18 O 0.391 0.959 0.748  0.17
19 O 0.109 0.459 0.752  0.17
20 O 0.609 0.041 0.252  0.17

- DFT total energy (eV per atom) = -8.10
- density of states at the Fermi level (states/eV/cell) = 18.8
- space group = No. 14

---

no.,ΔE_f (raw) (meV per atom),mass density (Mg/m³)
1,-2617.2,6.8
2,-2488.6,5.5
3,-3095.8,5.1